# AlTe2IF

An optimized crystal structure of AlTe2IF (PBE, Alexandria via LeMat-Bulk).

Results
density	4692	kg/m3
ΔE_f (raw)	4.4	kJ per mole of atoms
energy above the most stable polymorph in this dataset	51	meV/atom

Cell: 5.2881 5.2881 5.4176 Å, 90.00 90.00 90.00°
Closest atoms and distances in Å follow each position.
Positions (direct):
Al 0.0000 0.0000 0.0000  4 Te 2.64, 2 I 2.71
Te 0.0000 0.5000 0.0000  2 Al 2.64
Te 0.5000 0.0000 0.0000  2 Al 2.64
I 0.0000 0.0000 0.5000  2 Al 2.71
F 0.5000 0.5000 0.5000  4 I 3.74, 8 Te 3.79